(1)
! RbRe2B2 PBE relaxed; values from VASP
&SYSTEM
  ibrav = 0, nat = 5, ntyp = 3
/
ATOMIC_SPECIES
B 10.81 B.upf
Re 186.21 Re.upf
Rb 85.47 Rb.upf
CELL_PARAMETERS angstrom
-1.009 -1.646 3.486
3.803 -1.015 0.621
2.437 4.409 5.064
ATOMIC_POSITIONS crystal
B 0.307 0.307 0.386
B 0.693 0.693 0.614
Re 0.750 0.250 0.500
Re 0.250 0.750 0.500
Rb 0.000 0.000 0.000
! E   -0.2796 hartree per atom
! Fermi-level density of states   3.09 states/eV/cell
! Formation energy   0.2366 eV per atom

---

(2)
! RbRe3B PBE relaxed; values from VASP
&SYSTEM
  ibrav = 0, nat = 5, ntyp = 3
/
ATOMIC_SPECIES
Re 186.21 Re.upf
Rb 85.47 Rb.upf
B 10.81 B.upf
CELL_PARAMETERS angstrom
4.710 0.000 0.000
0.000 4.710 0.000
0.000 0.000 4.710
ATOMIC_POSITIONS crystal
Re 0.000 0.000 0.500
Re 0.500 0.000 0.000
Re 0.000 0.500 0.000
Rb 0.000 0.000 0.000
B 0.500 0.500 0.500
! E   -0.1452 hartree per atom
! Fermi-level density of states   6.63 states/eV/cell
! Formation energy   5.0455 eV per atom